Below is crystalline Nd3Sm3Co4 at its relaxed geometry, with properties calculated at the PBE level.

Unit cell a=4.2580 b=7.4165 c=7.4165 alpha=90.26 beta=90.00 gamma=90.00
Last column: nearest neighbours and their distance in Å.
Positions (direct):
Nd (0.5000, 0.1701, 0.8299)  6 Co 3.02-3.20
Sm (0.5000, 0.8268, 0.1732)  6 Co 3.00-3.11
Sm (0.5000, 0.6716, 0.6712)  6 Co 2.99-3.14
Co (0.0000, 0.1039, 0.1110)  1 Co 2.25
Co (0.0000, 0.8890, 0.8961)  1 Co 2.25
Sm (0.5000, 0.3288, 0.3284)  6 Co 2.99-3.14
Nd (0.0000, 0.5006, 0.9993)  4 Co 2.98-3.06
Nd (0.0000, 0.0007, 0.4994)  4 Co 2.98-3.06
Co (0.0000, 0.6110, 0.3890)  1 Co 2.24
Co (0.0000, 0.3976, 0.6024)  1 Co 2.24

Properties
**ΔE_f**: -0.02 eV per atom
**DOS at the Fermi energy**: 6.83 states/eV/f.u.
**Crystal system**: orthorhombic
**Magnetic moment**: 0.0 μB/cell

Below is crystalline InSn2Cl4 at its relaxed geometry, with properties calculated at the PBE level.

Unit cell a=6.4219 b=9.2780 c=9.2933 alpha=115.43 beta=104.84 gamma=105.06
Last column: nearest neighbours and their distance in Å.
Positions (direct):
Sn (0.1187, 0.3767, 0.7525)  2 Cl 2.62-2.71
Cl (0.3713, 0.5810, 0.1916)  2 Sn 2.72-2.82
Sn (0.6091, 0.3499, 0.7536)  2 Cl 2.63-2.65
Cl (0.9804, 0.2973, 0.4262)  2 Sn 2.62-2.92
Sn (0.6471, 0.8978, 0.2542)  3 Cl 2.65-2.72
In (0.2175, 0.7606, 0.5051)  4 Cl 3.18-3.38, 1 Sn 3.40
Cl (0.2882, 0.7213, 0.8577)  1 Sn 2.71, 1 In 2.96
Cl (0.8492, 0.6543, 0.0597)  1 Sn 2.65
Cl (0.6462, 0.5883, 0.6013)  1 Sn 2.67, 1 In 2.98
In (0.9945, 0.9150, 0.9449)  3 Cl 2.96-3.07
Cl (0.3684, 0.0290, 0.3798)  1 Sn 2.65
Cl (0.9082, 0.9790, 0.5740)  1 Sn 2.66
Sn (0.6623, 0.4281, 0.2900)  3 Cl 2.67-2.92
Cl (0.5888, 0.1716, 0.9095)  1 Sn 2.63

Properties
**DOS at the Fermi energy**: 1.42 states/eV/f.u.
**Crystal system**: triclinic
**Magnetic moment**: 0.8 μB/cell
**E_form (uncorrected)**: -0.796 eV per atom